Arrangement one

First-principles (GGA-PBE) data for a geometry-optimized IrWCl3 structure, as listed in the Alexandria database.

Values from the calculation:
SG: Pm-3m (221)
Crystal system: cubic
Total magnetic moment, μB per formula unit: 4.3
DOS at the Fermi energy, states/eV per cell: 8.0

Cell: 4.815 4.815 4.815 Å, 90.00 90.00 90.00°
Atoms (fractional coordinates):
Ir 0.000 0.000 0.000
W 0.500 0.500 0.500
Cl 0.000 0.500 0.500
Cl 0.500 0.000 0.500
Cl 0.500 0.500 0.000

Arrangement two

First-principles (GGA-PBE) data for a geometry-optimized IrWCl3 structure, as listed in the Alexandria database.

Values from the calculation:
SG: Pm-3m (221)
Crystal system: cubic
Total magnetic moment, μB per formula unit: 4.6
DOS at the Fermi energy, states/eV per cell: 6.7

Cell: 4.813 4.813 4.813 Å, 90.00 90.00 90.00°
Atoms (fractional coordinates):
Ir 0.000 0.000 0.000
W 0.500 0.500 0.500
Cl 0.000 0.000 0.500
Cl 0.000 0.500 0.000
Cl 0.500 0.000 0.000

Relative calculated energies, zero for the most stable structure, unit meV/atom: arrangement one 0; arrangement two 69.

Arrangement one

First-principles (GGA-PBE) data for a geometry-optimized Ir3WCl structure, as listed in the Alexandria database.

Values from the calculation:
SG: Pm-3m (221)
Crystal system: cubic
Total magnetic moment, μB per formula unit: 0.0
DOS at the Fermi energy, states/eV per cell: 5.3

Cell: 4.805 4.805 4.805 Å, 90.00 90.00 90.00°
Atoms (fractional coordinates):
Ir 0.000 0.000 0.500
Ir 0.000 0.500 0.000
Ir 0.500 0.000 0.000
W 0.000 0.000 0.000
Cl 0.500 0.500 0.500

Arrangement two

First-principles (GGA-PBE) data for a geometry-optimized Ir3WCl structure, as listed in the Alexandria database.

Values from the calculation:
SG: Pm-3m (221)
Crystal system: cubic
Total magnetic moment, μB per formula unit: 1.6
DOS at the Fermi energy, states/eV per cell: 9.6

Cell: 4.392 4.392 4.392 Å, 90.00 90.00 90.00°
Atoms (fractional coordinates):
Ir 0.000 0.000 0.500
Ir 0.000 0.500 0.000
Ir 0.500 0.000 0.000
W 0.500 0.500 0.500
Cl 0.000 0.000 0.000

Relative calculated energies, zero for the most stable structure, unit meV/atom: arrangement one 55; arrangement two 0.

Arrangement one

First-principles (GGA-PBE) data for a geometry-optimized YIrCl2 structure, as listed in the Alexandria database.

Values from the calculation:
SG: Fm-3m (225)
Crystal system: cubic
Total magnetic moment, μB per formula unit: 0.5
DOS at the Fermi energy, states/eV per cell: 20.0

Cell: 6.710 6.710 6.710 Å, 90.00 90.00 90.00°
Atoms (fractional coordinates):
Y 0.000 0.000 0.000
Y 0.000 0.500 0.500
Y 0.500 0.000 0.500
Y 0.500 0.500 0.000
Ir 0.000 0.000 0.500
Ir 0.000 0.500 0.000
Ir 0.500 0.000 0.000
Ir 0.500 0.500 0.500
Cl 0.250 0.250 0.250
Cl 0.250 0.250 0.750
Cl 0.250 0.750 0.250
Cl 0.250 0.750 0.750
Cl 0.750 0.250 0.250
Cl 0.750 0.250 0.750
Cl 0.750 0.750 0.250
Cl 0.750 0.750 0.750

Arrangement two

First-principles (GGA-PBE) data for a geometry-optimized YIrCl2 structure, as listed in the Alexandria database.

Values from the calculation:
SG: P4/mmm (123)
Crystal system: tetragonal
Total magnetic moment, μB per formula unit: 0.0
DOS at the Fermi energy, states/eV per cell: 1.7

Cell: 4.318 4.318 4.036 Å, 90.00 90.00 90.00°
Atoms (fractional coordinates):
Y 0.000 0.000 0.000
Ir 0.500 0.500 0.000
Cl 0.000 0.500 0.500
Cl 0.500 0.000 0.500

Arrangement three

First-principles (GGA-PBE) data for a geometry-optimized YIrCl2 structure, as listed in the Alexandria database.

Values from the calculation:
SG: P4/mmm (123)
Crystal system: tetragonal
Total magnetic moment, μB per formula unit: 2.1
DOS at the Fermi energy, states/eV per cell: 3.6

Cell: 3.145 3.145 10.367 Å, 90.00 90.00 90.00°
Atoms (fractional coordinates):
Y 0.000 0.000 0.000
Ir 0.000 0.000 0.500
Cl 0.500 0.500 0.158
Cl 0.500 0.500 0.842

Arrangement four

First-principles (GGA-PBE) data for a geometry-optimized YIrCl2 structure, as listed in the Alexandria database.

Values from the calculation:
SG: Cm (8)
Crystal system: monoclinic
Total magnetic moment, μB per formula unit: 0.0
DOS at the Fermi energy, states/eV per cell: 3.5

Cell: 14.026 3.537 4.048 Å, 90.00 106.51 90.00°
Atoms (fractional coordinates):
Y 0.000 0.000 0.000
Y 0.500 0.500 0.000
Ir 0.353 0.000 0.856
Ir 0.853 0.500 0.856
Cl 0.097 0.500 0.595
Cl 0.352 0.500 0.355
Cl 0.597 0.000 0.595
Cl 0.852 0.000 0.355

Relative calculated energies, zero for the most stable structure, unit meV/atom: arrangement one 423; arrangement two 309; arrangement three 461; arrangement four 0.

Arrangement one

First-principles (GGA-PBE) data for a geometry-optimized YIrCl2 structure, as listed in the Alexandria database.

Values from the calculation:
SG: Pm (6)
Crystal system: monoclinic
Total magnetic moment, μB per formula unit: 0.0

Cell: 3.831 3.972 6.850 Å, 90.00 97.56 90.00°
Atoms (fractional coordinates):
Y 0.000 0.000 0.000
Ir 0.484 0.500 0.903
Cl 0.313 0.000 0.654
Cl 0.734 0.500 0.237

Arrangement two

First-principles (GGA-PBE) data for a geometry-optimized YIrCl2 structure, as listed in the Alexandria database.

Values from the calculation:
SG: R-3m (166)
Crystal system: trigonal
Total magnetic moment, μB per formula unit: 1.4
DOS at the Fermi energy, states/eV per cell: 11.8

Cell: 3.296 3.296 30.895 Å, 90.00 90.00 120.00°
Atoms (fractional coordinates):
Y 0.000 0.000 0.000
Y 0.333 0.667 0.667
Y 0.667 0.333 0.333
Ir 0.000 0.000 0.500
Ir 0.333 0.667 0.167
Ir 0.667 0.333 0.833
Cl 0.000 0.000 0.273
Cl 0.000 0.000 0.727
Cl 0.333 0.667 0.394
Cl 0.333 0.667 0.939
Cl 0.667 0.333 0.061
Cl 0.667 0.333 0.606

Arrangement three

First-principles (GGA-PBE) data for a geometry-optimized YIrCl2 structure, as listed in the Alexandria database.

Values from the calculation:
SG: Pmmm (47)
Crystal system: orthorhombic
Total magnetic moment, μB per formula unit: 0.0
DOS at the Fermi energy, states/eV per cell: 1.8

Cell: 3.291 4.386 5.330 Å, 90.00 90.00 90.00°
Atoms (fractional coordinates):
Y 0.000 0.000 0.000
Ir 0.500 0.000 0.500
Cl 0.000 0.500 0.500
Cl 0.500 0.500 0.000

Arrangement four

First-principles (GGA-PBE) data for a geometry-optimized YIrCl2 structure, as listed in the Alexandria database.

Values from the calculation:
SG: P4mm (99)
Crystal system: tetragonal
Total magnetic moment, μB per formula unit: 0.0
DOS at the Fermi energy, states/eV per cell: 0.3

Cell: 3.801 3.801 6.434 Å, 90.00 90.00 90.00°
Atoms (fractional coordinates):
Y 0.000 0.000 0.000
Ir 0.500 0.500 0.845
Cl 0.000 0.000 0.584
Cl 0.500 0.500 0.204

Relative calculated energies, zero for the most stable structure, unit meV/atom: arrangement one 0; arrangement two 656; arrangement three 352; arrangement four 121.

Arrangement one

First-principles (GGA-PBE) data for a geometry-optimized YIrCl2 structure, as listed in the Alexandria database.

Values from the calculation:
SG: R-3m (166)
Crystal system: trigonal
Total magnetic moment, μB per formula unit: 0.0
DOS at the Fermi energy, states/eV per cell: 8.7

Cell: 3.283 3.283 25.632 Å, 90.00 90.00 120.00°
Atoms (fractional coordinates):
Y 0.000 0.000 0.000
Y 0.333 0.667 0.667
Y 0.667 0.333 0.333
Ir 0.000 0.000 0.500
Ir 0.333 0.667 0.167
Ir 0.667 0.333 0.833
Cl 0.000 0.000 0.410
Cl 0.000 0.000 0.590
Cl 0.333 0.667 0.076
Cl 0.333 0.667 0.257
Cl 0.667 0.333 0.743
Cl 0.667 0.333 0.924

Arrangement two

First-principles (GGA-PBE) data for a geometry-optimized YIrCl2 structure, as listed in the Alexandria database.

Values from the calculation:
SG: I-4m2 (119)
Crystal system: tetragonal
Total magnetic moment, μB per formula unit: 0.0
DOS at the Fermi energy, states/eV per cell: 2.1

Cell: 3.957 3.957 9.656 Å, 90.00 90.00 90.00°
Atoms (fractional coordinates):
Y 0.000 0.000 0.000
Y 0.500 0.500 0.500
Ir 0.000 0.500 0.250
Ir 0.500 0.000 0.750
Cl 0.000 0.000 0.500
Cl 0.000 0.500 0.750
Cl 0.500 0.000 0.250
Cl 0.500 0.500 0.000

Arrangement three

First-principles (GGA-PBE) data for a geometry-optimized YIrCl2 structure, as listed in the Alexandria database.

Values from the calculation:
SG: R-3m (166)
Crystal system: trigonal
Total magnetic moment, μB per formula unit: 2.0
DOS at the Fermi energy, states/eV per cell: 3.9

Cell: 3.881 3.881 23.018 Å, 90.00 90.00 120.00°
Atoms (fractional coordinates):
Y 0.000 0.000 0.000
Y 0.333 0.667 0.667
Y 0.667 0.333 0.333
Ir 0.000 0.000 0.500
Ir 0.333 0.667 0.167
Ir 0.667 0.333 0.833
Cl 0.000 0.000 0.115
Cl 0.000 0.000 0.885
Cl 0.333 0.667 0.552
Cl 0.333 0.667 0.781
Cl 0.667 0.333 0.219
Cl 0.667 0.333 0.448

Arrangement four

First-principles (GGA-PBE) data for a geometry-optimized YIrCl2 structure, as listed in the Alexandria database.

Values from the calculation:
SG: I-42d (122)
Crystal system: tetragonal
Total magnetic moment, μB per formula unit: 0.0
DOS at the Fermi energy, states/eV per cell: 0.7

Cell: 4.399 4.399 17.065 Å, 90.00 90.00 90.00°
Atoms (fractional coordinates):
Y 0.000 0.000 0.000
Y 0.000 0.500 0.250
Y 0.500 0.000 0.750
Y 0.500 0.500 0.500
Ir 0.000 0.000 0.500
Ir 0.000 0.500 0.750
Ir 0.500 0.000 0.250
Ir 0.500 0.500 0.000
Cl 0.229 0.250 0.625
Cl 0.250 0.729 0.875
Cl 0.250 0.771 0.375
Cl 0.271 0.250 0.125
Cl 0.729 0.750 0.125
Cl 0.750 0.229 0.375
Cl 0.750 0.271 0.875
Cl 0.771 0.750 0.625

Relative calculated energies, zero for the most stable structure, unit meV/atom: arrangement one 178; arrangement two 131; arrangement three 742; arrangement four 0.